LiNiCO2 at its PBEsol-relaxed geometry. Source: the Alexandria database, functional SCAN.

Lattice parameters (Å, degrees): 3.505 3.505 4.774 90.00 90.00 90.00
Site moments in Bohr magnetons follow the coordinates.
Element x y z (fractional)
Ni1 0.000 0.000 0.000  0.55
C1 0.500 0.500 0.500  0.90
O1 0.000 0.500 0.000  0.41
O2 0.500 0.000 0.000  0.41
Li1 0.000 0.000 0.500  0.02

Computed properties:
* DFT total energy: -0.275 Ha/atom
* spin magnetization: 3.22 μB per cell
* raw formation energy: 0.75 eV/atom
* N(E_F): 2.23 states/eV/cell
* SG: P4/mmm (123)